1.
Compound: Na2ZnCd
Source: Alexandria via LeMat-Bulk
Functional: PBE-GGA
Structure: relaxed

The calculation puts the formation energy at 0.50 eV per formula unit.

It has space group I-42d (No. 122), with a = 8.433 Å, b = 8.433 Å, c = 5.958 Å, α = 90.00°, β = 90.00° and γ = 90.00°. The distinct sites, in fractional coordinates, are Na at (0.233, 0.250, 0.125), Zn at (0.000, 0.000, 0.000) and Cd at (0.000, 0.000, 0.500).

=====

2.
Compound: LiRe2Ir
Source: Alexandria via LeMat-Bulk
Functional: PBE-GGA
Structure: relaxed

The calculation puts the formation energy at 1.38 eV per formula unit.

It has space group Cmmm (No. 65), with a = 2.791 Å, b = 4.557 Å, c = 9.414 Å, α = 90.00°, β = 90.00° and γ = 90.00°. The distinct sites, in fractional coordinates, are Li at (0.000, 0.000, 0.000), Re at (0.000, 0.500, 0.254) and Ir at (0.000, 0.000, 0.500).

=====

3.
Compound: TaBeS2N
Source: Alexandria via LeMat-Bulk
Functional: PBE-GGA
Structure: relaxed

The calculation puts the uncorrected formation energy at 1.520 eV per formula unit. The polymorph energy (0 for the lowest one) is 0 meV per atom.

It has space group P4/mmm (No. 123), with a = 4.530 Å, b = 4.530 Å, c = 3.083 Å, α = 90.00°, β = 90.00° and γ = 90.00°. The distinct sites, in fractional coordinates, are Ta at (0.000, 0.000, 0.000), Be at (0.500, 0.500, 0.000), S at (0.000, 0.500, 0.500) and N at (0.500, 0.500, 0.500).

=====

4.
Compound: TaMoAu2
Source: Alexandria via LeMat-Bulk
Functional: PBE-GGA
Structure: relaxed

The polymorph energy (0 for the lowest one) is 59 meV per atom. The calculation puts the formation energy at 0.35 eV per formula unit.

It has space group P4/mmm (No. 123), with a = 3.981 Å, b = 3.981 Å, c = 4.307 Å, α = 90.00°, β = 90.00° and γ = 90.00°. The distinct sites, in fractional coordinates, are Ta at (0.000, 0.000, 0.000), Mo at (0.500, 0.500, 0.000) and Au at (0.000, 0.500, 0.500).

=====

| no. | energy (Ha/atom) |
| --- | --- |
| 1 | -0.03974 |
| 2 | -0.31500 |
| 3 | -0.22520 |
| 4 | -0.26539 |